{"formula": "Li2Mg3Pd4", "functional": "GGA-PBE", "state": "optimized geometry", "formation_energy_kj_per_mol_fu": -482, "total_magnetization_mub_per_fu": 0.00, "spacegroup": "No. 164", "lattice": [[4.413, 0.000, 0.001], [2.206, 3.817, 0.139], [-0.001, -0.311, 8.339]], "species": ["Mg", "Mg", "Mg", "Pd", "Pd", "Pd", "Pd", "Li", "Li"], "fractional_positions": [[0.000, 0.000, 0.000], [0.667, 0.667, 0.578], [0.333, 0.333, 0.422], [0.000, 0.000, 0.671], [0.333, 0.333, 0.106], [0.000, 0.000, 0.329], [0.667, 0.667, 0.894], [0.333, 0.333, 0.788], [0.667, 0.667, 0.212]]}

{"formula": "Li2TmPd2", "functional": "GGA-PBE", "state": "optimized geometry", "formation_energy_kj_per_mol_fu": -301, "polymorph_energy_kj_per_mol_atoms": 0.0, "total_magnetization_mub_per_fu": 0.00, "spacegroup": "No. 2", "lattice": [[-0.386, 2.767, -1.726], [-6.209, 0.898, 2.879], [8.067, 1.899, 4.360]], "species": ["Pd", "Pd", "Pd", "Pd", "Li", "Li", "Li", "Li", "Tm", "Tm"], "fractional_positions": [[0.390, 0.836, 0.782], [0.390, 0.336, 0.782], [0.610, 0.164, 0.218], [0.610, 0.664, 0.218], [0.202, 0.054, 0.404], [0.798, 0.946, 0.596], [0.798, 0.446, 0.596], [0.202, 0.554, 0.404], [0.000, 0.250, 0.000], [0.000, 0.750, 0.000]]}

{"formula": "LiV2Tc", "functional": "GGA-PBE", "state": "optimized geometry", "formation_energy_kj_per_mol_fu": 221, "total_magnetization_mub_per_fu": 0.00, "spacegroup": "No. 122", "lattice": [[6.665, 0.000, 0.000], [0.000, 6.665, 0.000], [3.333, 3.333, 2.572]], "species": ["Tc", "Tc", "V", "V", "V", "V", "Li", "Li"], "fractional_positions": [[0.750, 0.250, 0.500], [0.000, 0.000, 0.000], [0.375, 0.366, 0.750], [0.875, 0.884, 0.750], [0.634, 0.125, 0.250], [0.116, 0.625, 0.250], [0.250, 0.750, 0.500], [0.500, 0.500, 0.000]]}